Entry 1:
The following is a PBE calculation of crystalline Ba2YAgO4 at its relaxed geometry, from the Alexandria database.

Summary:
Space-group type = I-4
Formation energy (no corrections) = -2.214 eV/atom
Crystal system = tetragonal
ρ = 5016 kg/m3
E = -50.71 eV per cell
D(E_F) = 0.0 states/eV/f.u.

Cell and atoms, written as POSCAR:
```
Ba2YAgO4
1.0
-3.118 5.574 -2.178
-2.156 -6.394 0.087
0.963 -2.222 6.298
Ba Y Ag O
2 1 1 4
Direct
0.500 0.750 0.250 Ba
0.000 0.000 0.000 Ba
0.500 0.250 0.750 Y
0.000 0.500 0.500 Ag
0.517 0.364 0.424 O
0.061 0.153 0.636 O
0.939 0.576 0.092 O
0.483 0.908 0.847 O
```



Entry 2:
The following is a PBE calculation of crystalline Ba2YAgO5 at its relaxed geometry, from the Alexandria database.

Summary:
Space-group type = Cmc2_1
Formation energy (no corrections) = -2.059 eV/atom
Crystal system = orthorhombic
ρ = 5916 kg/m3
E = -112.96 eV per cell
D(E_F) = 1.4 states/eV/f.u.

Cell and atoms, written as POSCAR:
```
Ba2YAgO5
1.0
3.638 0.000 0.000
-1.819 7.044 0.000
0.000 0.000 12.079
Ba Y Ag O
4 2 2 10
Direct
0.850 0.701 0.801 Ba
0.092 0.185 0.682 Ba
0.150 0.299 0.301 Ba
0.908 0.815 0.182 Ba
0.792 0.584 0.523 Y
0.208 0.416 0.023 Y
0.522 0.043 0.948 Ag
0.478 0.957 0.448 Ag
0.374 0.749 0.987 O
0.668 0.336 0.899 O
0.483 0.966 0.781 O
0.272 0.544 0.639 O
0.941 0.883 0.564 O
0.626 0.251 0.487 O
0.332 0.664 0.399 O
0.517 0.034 0.281 O
0.728 0.456 0.139 O
0.059 0.117 0.064 O
```



Entry 3:
The following is a PBE calculation of crystalline Ba2YAg2O6 at its relaxed geometry, from the Alexandria database.

Summary:
Space-group type = R-3m
Formation energy (no corrections) = -1.585 eV/atom
Crystal system = trigonal
ρ = 5392 kg/m3
E = -63.19 eV per cell
D(E_F) = 8.1 states/eV/f.u.

Cell and atoms, written as POSCAR:
```
Ba2YAg2O6
1.0
6.353 0.000 0.000
3.176 5.502 0.000
3.176 1.834 5.950
Ba Y Ag O
2 1 2 6
Direct
0.790 0.790 0.629 Ba
0.210 0.210 0.371 Ba
0.000 0.000 0.000 Y
0.418 0.418 0.747 Ag
0.582 0.582 0.253 Ag
0.764 0.764 0.266 O
0.205 0.764 0.266 O
0.764 0.205 0.266 O
0.236 0.795 0.734 O
0.795 0.236 0.734 O
0.236 0.236 0.734 O
```